# 1
First-principles (PBE) data for a relaxed KNa9Cd2 crystal, as listed in Alexandria.

```
data_KNa9Cd2
_symmetry_space_group_name_H-M 'P 6/m m m'
_symmetry_Int_Tables_number 191
_symmetry_space_group_name_Hall '-P 6 2'
_cell_length_a 11.6857
_cell_length_b 11.6857
_cell_length_c 3.5601
_cell_angle_alpha 90.00
_cell_angle_beta 90.00
_cell_angle_gamma 120.00
loop_
_atom_site_label
_atom_site_type_symbol
_atom_site_fract_x
_atom_site_fract_y
_atom_site_fract_z
_atom_site_occupancy
K1 K 0.0000 0.0000 0.0000 1
Na1 Na 0.0000 0.5000 0.0000 1
Na2 Na 0.1900 0.3799 0.5000 1
Cd1 Cd 0.3333 0.6667 0.0000 1
```

Computed properties:
magnetic moment = 0.00 μB per formula unit
calculated formation energy = 0.0 eV/f.u.

---

# 2
First-principles (PBE) data for a relaxed K12NaCd6 crystal, as listed in Alexandria.

```
data_K12NaCd6
_symmetry_space_group_name_H-M 'I m -3'
_symmetry_Int_Tables_number 204
_symmetry_space_group_name_Hall '-I 2 2 3'
_cell_length_a 12.427
_cell_length_b 12.427
_cell_length_c 12.427
_cell_angle_alpha 90.00
_cell_angle_beta 90.00
_cell_angle_gamma 90.00
loop_
_atom_site_label
_atom_site_type_symbol
_atom_site_fract_x
_atom_site_fract_y
_atom_site_fract_z
_atom_site_occupancy
K1 K 0.000 0.188 0.292 1
Na1 Na 0.000 0.000 0.000 1
Cd1 Cd 0.000 0.383 0.500 1
```

Computed properties:
magnetic moment = 0.00 μB per formula unit
calculated formation energy = -0.2 eV/f.u.

---

# 3
First-principles (PBE) data for a relaxed K16NaCd12 crystal, as listed in Alexandria.

```
data_K16NaCd12
_symmetry_space_group_name_H-M 'C 1 m 1'
_symmetry_Int_Tables_number 8
_symmetry_space_group_name_Hall 'C -2y'
_cell_length_a 13.586
_cell_length_b 17.663
_cell_length_c 11.188
_cell_angle_alpha 90.00
_cell_angle_beta 116.10
_cell_angle_gamma 90.00
loop_
_atom_site_label
_atom_site_type_symbol
_atom_site_fract_x
_atom_site_fract_y
_atom_site_fract_z
_atom_site_occupancy
K1 K 0.000 0.000 0.000 1
K2 K 0.005 0.000 0.379 1
K3 K 0.019 0.374 0.023 1
K4 K 0.045 0.388 0.392 1
K5 K 0.218 0.209 0.030 1
K6 K 0.281 0.000 0.052 1
K7 K 0.301 0.000 0.664 1
K8 K 0.320 0.311 0.380 1
K9 K 0.329 0.329 0.791 1
K10 K 0.490 0.192 0.666 1
Na1 Na 0.156 0.500 0.793 1
Cd1 Cd 0.009 0.181 0.202 1
Cd2 Cd 0.061 0.092 0.697 1
Cd3 Cd 0.146 0.180 0.520 1
Cd4 Cd 0.216 0.500 0.267 1
Cd5 Cd 0.232 0.089 0.334 1
Cd6 Cd 0.297 0.412 0.083 1
Cd7 Cd 0.334 0.500 0.571 1
```

Computed properties:
magnetic moment = 0.00 μB per formula unit
calculated formation energy = -0.7 eV/f.u.

---

# 4
First-principles (PBE) data for a relaxed KNa6Cd4 crystal, as listed in Alexandria.

```
data_KNa6Cd4
_symmetry_space_group_name_H-M 'I -4 2 m'
_symmetry_Int_Tables_number 121
_symmetry_space_group_name_Hall 'I -4 2'
_cell_length_a 8.161
_cell_length_b 8.161
_cell_length_c 11.654
_cell_angle_alpha 90.00
_cell_angle_beta 90.00
_cell_angle_gamma 90.00
loop_
_atom_site_label
_atom_site_type_symbol
_atom_site_fract_x
_atom_site_fract_y
_atom_site_fract_z
_atom_site_occupancy
K1 K 0.000 0.000 0.000 1
Na1 Na 0.000 0.500 0.000 1
Na2 Na 0.192 0.192 0.713 1
Cd1 Cd 0.160 0.160 0.437 1
```

Computed properties:
magnetic moment = 0.00 μB per formula unit
calculated formation energy = -0.3 eV/f.u.

---

# 5
First-principles (PBE) data for a relaxed K5Na2Cd5 crystal, as listed in Alexandria.

```
data_K5Na2Cd5
_symmetry_space_group_name_H-M 'C 1 2/m 1'
_symmetry_Int_Tables_number 12
_symmetry_space_group_name_Hall '-C 2y'
_cell_length_a 17.963
_cell_length_b 5.845
_cell_length_c 11.262
_cell_angle_alpha 90.00
_cell_angle_beta 128.80
_cell_angle_gamma 90.00
loop_
_atom_site_label
_atom_site_type_symbol
_atom_site_fract_x
_atom_site_fract_y
_atom_site_fract_z
_atom_site_occupancy
K1 K 0.000 0.000 0.000 1
K2 K 0.146 0.000 0.455 1
K3 K 0.149 0.000 0.841 1
Na1 Na 0.142 0.500 0.145 1
Cd1 Cd 0.000 0.500 0.500 1
Cd2 Cd 0.003 0.500 0.769 1
Cd3 Cd 0.219 0.500 0.718 1
```

Computed properties:
magnetic moment = 0.00 μB per formula unit
calculated formation energy = -0.3 eV/f.u.

---

# 6
First-principles (PBE) data for a relaxed K4Na2Cd crystal, as listed in Alexandria.

```
data_K4Na2Cd
_symmetry_space_group_name_H-M 'P -1'
_symmetry_Int_Tables_number 2
_symmetry_space_group_name_Hall '-P 1'
_cell_length_a 7.945
_cell_length_b 9.024
_cell_length_c 11.721
_cell_angle_alpha 75.05
_cell_angle_beta 71.26
_cell_angle_gamma 67.66
loop_
_atom_site_label
_atom_site_type_symbol
_atom_site_fract_x
_atom_site_fract_y
_atom_site_fract_z
_atom_site_occupancy
K1 K 0.003 0.188 0.306 1
K2 K 0.077 0.270 0.629 1
K3 K 0.481 0.219 0.847 1
K4 K 0.495 0.737 0.765 1
Na1 Na 0.000 0.000 0.000 1
Na2 Na 0.132 0.578 0.049 1
Na3 Na 0.500 0.500 0.500 1
Cd1 Cd 0.401 0.916 0.461 1
```

Computed properties:
magnetic moment = 0.00 μB per formula unit
calculated formation energy = 0.0 eV/f.u.

---

# 7
First-principles (PBE) data for a relaxed KNa3Cd2 crystal, as listed in Alexandria.

```
data_KNa3Cd2
_symmetry_space_group_name_H-M 'P 1 21/m 1'
_symmetry_Int_Tables_number 11
_symmetry_space_group_name_Hall '-P 2yb'
_cell_length_a 8.003
_cell_length_b 6.323
_cell_length_c 8.201
_cell_angle_alpha 90.00
_cell_angle_beta 93.57
_cell_angle_gamma 90.00
loop_
_atom_site_label
_atom_site_type_symbol
_atom_site_fract_x
_atom_site_fract_y
_atom_site_fract_z
_atom_site_occupancy
K1 K 0.116 0.250 0.114 1
Na1 Na 0.076 0.750 0.424 1
Na2 Na 0.421 0.750 0.075 1
Na3 Na 0.449 0.250 0.453 1
Cd1 Cd 0.263 0.501 0.740 1
```

Computed properties:
magnetic moment = 0.00 μB per formula unit
calculated formation energy = -0.3 eV/f.u.

---

# 8
First-principles (PBE) data for a relaxed KNa5Cd5 crystal, as listed in Alexandria.

```
data_KNa5Cd5
_symmetry_space_group_name_H-M 'P -6 m 2'
_symmetry_Int_Tables_number 187
_symmetry_space_group_name_Hall 'P -6 2'
_cell_length_a 5.9153
_cell_length_b 5.9153
_cell_length_c 11.2100
_cell_angle_alpha 90.00
_cell_angle_beta 90.00
_cell_angle_gamma 120.00
loop_
_atom_site_label
_atom_site_type_symbol
_atom_site_fract_x
_atom_site_fract_y
_atom_site_fract_z
_atom_site_occupancy
K1 K 0.0000 0.0000 0.0000 1
Na1 Na 0.0000 0.0000 0.3419 1
Na2 Na 0.3333 0.6667 0.2219 1
Na3 Na 0.6667 0.3333 0.0000 1
Cd1 Cd 0.0044 0.5022 0.5000 1
Cd2 Cd 0.6667 0.3333 0.2675 1
```

Computed properties:
magnetic moment = 0.00 μB per formula unit
calculated formation energy = -0.6 eV/f.u.

---

# 9
First-principles (PBE) data for a relaxed KNa9Cd2 crystal, as listed in Alexandria.

```
data_KNa9Cd2
_symmetry_space_group_name_H-M 'I 41/a m d'
_symmetry_Int_Tables_number 141
_cell_length_a 13.966
_cell_length_b 13.966
_cell_length_c 8.875
_cell_angle_alpha 90.00
_cell_angle_beta 90.00
_cell_angle_gamma 90.00
loop_
_symmetry_equiv_pos_as_xyz
'x,y,z'
'-x,-y,-z'
'-y+1/4,x+3/4,z+1/4'
'y+1/4,-x+3/4,-z+1/4'
'-x+1/2,-y,z+1/2'
'x+1/2,y,-z+1/2'
'y+1/4,-x+1/4,z+3/4'
'-y+1/4,x+1/4,-z+3/4'
'x,-y,-z'
'-x,y,z'
'-y+1/4,-x+1/4,-z+3/4'
'y+1/4,x+1/4,z+3/4'
'-x+1/2,y,-z+1/2'
'x+1/2,-y,z+1/2'
'y+1/4,x+3/4,-z+1/4'
'-y+1/4,-x+3/4,z+1/4'
'x+1/2,y+1/2,z+1/2'
'-x+1/2,-y+1/2,-z+1/2'
'-y+3/4,x+1/4,z+3/4'
'y+3/4,-x+1/4,-z+3/4'
'-x,-y+1/2,z'
'x,y+1/2,-z'
'y+3/4,-x+3/4,z+1/4'
'-y+3/4,x+3/4,-z+1/4'
'x+1/2,-y+1/2,-z+1/2'
'-x+1/2,y+1/2,z+1/2'
'-y+3/4,-x+3/4,-z+1/4'
'y+3/4,x+3/4,z+1/4'
'-x,y+1/2,-z'
'x,-y+1/2,z'
'y+3/4,x+1/4,-z+3/4'
'-y+3/4,-x+1/4,z+3/4'
loop_
_atom_site_label
_atom_site_type_symbol
_atom_site_fract_x
_atom_site_fract_y
_atom_site_fract_z
_atom_site_occupancy
K1 K 0.000 0.250 0.375 1
Na1 Na 0.000 0.250 0.875 1
Na2 Na 0.122 0.053 0.689 1
Cd1 Cd 0.000 0.000 0.000 1
```

Computed properties:
magnetic moment = 0.00 μB per formula unit
calculated formation energy = -0.2 eV/f.u.

---

# 10
First-principles (PBE) data for a relaxed KNaCd2 crystal, as listed in Alexandria.

```
data_KNaCd2
_symmetry_space_group_name_H-M 'P 4/m m m'
_symmetry_Int_Tables_number 123
_symmetry_space_group_name_Hall '-P 4 2'
_cell_length_a 5.241
_cell_length_b 5.241
_cell_length_c 4.796
_cell_angle_alpha 90.00
_cell_angle_beta 90.00
_cell_angle_gamma 90.00
loop_
_atom_site_label
_atom_site_type_symbol
_atom_site_fract_x
_atom_site_fract_y
_atom_site_fract_z
_atom_site_occupancy
K1 K 0.000 0.000 0.000 1
Na1 Na 0.500 0.500 0.000 1
Cd1 Cd 0.000 0.500 0.500 1
```

Computed properties:
magnetic moment = 0.00 μB per formula unit
calculated formation energy = 0.0 eV/f.u.

---

# 11
First-principles (PBE) data for a relaxed K3Na7Cd2 crystal, as listed in Alexandria.

```
data_K3Na7Cd2
_symmetry_space_group_name_H-M 'R -3 m'
_symmetry_Int_Tables_number 166
_symmetry_space_group_name_Hall '-R 3 2"'
_cell_length_a 7.2491
_cell_length_b 7.2491
_cell_length_c 32.8160
_cell_angle_alpha 90.00
_cell_angle_beta 90.00
_cell_angle_gamma 120.00
loop_
_atom_site_label
_atom_site_type_symbol
_atom_site_fract_x
_atom_site_fract_y
_atom_site_fract_z
_atom_site_occupancy
K1 K 0.0000 0.0000 0.0000 1
K2 K 0.0000 0.0000 0.1432 1
Na1 Na 0.0000 0.0000 0.5000 1
Na2 Na 0.0009 0.5005 0.9254 1
Cd1 Cd 0.0000 0.0000 0.3335 1
```

Computed properties:
magnetic moment = 0.00 μB per formula unit
calculated formation energy = -0.1 eV/f.u.

---

# 12
First-principles (PBE) data for a relaxed K3Na4Cd crystal, as listed in Alexandria.

```
data_K3Na4Cd
_symmetry_space_group_name_H-M 'P m n 21'
_symmetry_Int_Tables_number 31
_symmetry_space_group_name_Hall 'P 2ac -2'
_cell_length_a 12.190
_cell_length_b 8.357
_cell_length_c 7.201
_cell_angle_alpha 90.00
_cell_angle_beta 90.00
_cell_angle_gamma 90.00
loop_
_atom_site_label
_atom_site_type_symbol
_atom_site_fract_x
_atom_site_fract_y
_atom_site_fract_z
_atom_site_occupancy
K1 K 0.000 0.015 0.000 1
K2 K 0.194 0.177 0.502 1
Na1 Na 0.000 0.528 0.239 1
Na2 Na 0.000 0.529 0.764 1
Na3 Na 0.239 0.652 0.502 1
Cd1 Cd 0.000 0.848 0.500 1
```

Computed properties:
magnetic moment = 0.00 μB per formula unit
calculated formation energy = 0.0 eV/f.u.

---

# 13
First-principles (PBE) data for a relaxed K10Na4Cd crystal, as listed in Alexandria.

```
data_K10Na4Cd
_symmetry_space_group_name_H-M 'I 4/m'
_symmetry_Int_Tables_number 87
_symmetry_space_group_name_Hall '-I 4'
_cell_length_a 14.509
_cell_length_b 14.509
_cell_length_c 9.245
_cell_angle_alpha 90.00
_cell_angle_beta 90.00
_cell_angle_gamma 90.00
loop_
_atom_site_label
_atom_site_type_symbol
_atom_site_fract_x
_atom_site_fract_y
_atom_site_fract_z
_atom_site_occupancy
K1 K 0.000 0.500 0.250 1
K2 K 0.096 0.809 0.239 1
Na1 Na 0.101 0.299 0.500 1
Cd1 Cd 0.000 0.000 0.000 1
```

Computed properties:
magnetic moment = 0.00 μB per formula unit
calculated formation energy = 1.3 eV/f.u.

---

# 14
First-principles (PBE) data for a relaxed K9Na4Cd crystal, as listed in Alexandria.

```
data_K9Na4Cd
_symmetry_space_group_name_H-M 'P 63/m m c'
_symmetry_Int_Tables_number 194
_symmetry_space_group_name_Hall '-P 6c 2c'
_cell_length_a 12.1555
_cell_length_b 12.1555
_cell_length_c 12.3814
_cell_angle_alpha 90.00
_cell_angle_beta 90.00
_cell_angle_gamma 120.00
loop_
_atom_site_label
_atom_site_type_symbol
_atom_site_fract_x
_atom_site_fract_y
_atom_site_fract_z
_atom_site_occupancy
K1 K 0.0712 0.5356 0.2500 1
K2 K 0.2013 0.4026 0.5564 1
Na1 Na 0.0000 0.0000 0.0000 1
Na2 Na 0.1025 0.2050 0.2500 1
Cd1 Cd 0.3333 0.6667 0.7500 1
```

Computed properties:
magnetic moment = 0.00 μB per formula unit
calculated formation energy = -0.1 eV/f.u.

---

# 15
First-principles (PBE) data for a relaxed K3NaCd2 crystal, as listed in Alexandria.

```
data_K3NaCd2
_symmetry_space_group_name_H-M 'C 1 2/m 1'
_symmetry_Int_Tables_number 12
_symmetry_space_group_name_Hall '-C 2y'
_cell_length_a 20.988
_cell_length_b 4.846
_cell_length_c 13.248
_cell_angle_alpha 90.00
_cell_angle_beta 120.30
_cell_angle_gamma 90.00
loop_
_atom_site_label
_atom_site_type_symbol
_atom_site_fract_x
_atom_site_fract_y
_atom_site_fract_z
_atom_site_occupancy
K1 K 0.078 0.000 0.394 1
K2 K 0.093 0.000 0.980 1
K3 K 0.142 0.500 0.722 1
Na1 Na 0.194 0.500 0.264 1
Cd1 Cd 0.229 0.500 0.540 1
Cd2 Cd 0.239 0.500 0.052 1
```

Computed properties:
magnetic moment = 0.00 μB per formula unit
calculated formation energy = -0.2 eV/f.u.

---

# 16
First-principles (PBE) data for a relaxed K2Na4Cd crystal, as listed in Alexandria.

```
data_K2Na4Cd
_symmetry_space_group_name_H-M 'P b c a'
_symmetry_Int_Tables_number 61
_symmetry_space_group_name_Hall '-P 2ac 2ab'
_cell_length_a 6.932
_cell_length_b 12.395
_cell_length_c 13.606
_cell_angle_alpha 90.00
_cell_angle_beta 90.00
_cell_angle_gamma 90.00
loop_
_atom_site_label
_atom_site_type_symbol
_atom_site_fract_x
_atom_site_fract_y
_atom_site_fract_z
_atom_site_occupancy
K1 K 0.001 0.160 0.034 1
Na1 Na 0.002 0.153 0.308 1
Na2 Na 0.248 0.091 0.748 1
Cd1 Cd 0.000 0.000 0.500 1
```

Computed properties:
magnetic moment = 0.00 μB per formula unit
calculated formation energy = 0.1 eV/f.u.

---

# 17
First-principles (PBE) data for a relaxed K6Na10Cd crystal, as listed in Alexandria.

```
data_K6Na10Cd
_symmetry_space_group_name_H-M 'P -3 1 m'
_symmetry_Int_Tables_number 162
_symmetry_space_group_name_Hall '-P 3 2'
_cell_length_a 11.2329
_cell_length_b 11.2329
_cell_length_c 7.4560
_cell_angle_alpha 90.00
_cell_angle_beta 90.00
_cell_angle_gamma 120.00
loop_
_atom_site_label
_atom_site_type_symbol
_atom_site_fract_x
_atom_site_fract_y
_atom_site_fract_z
_atom_site_occupancy
K1 K 0.0000 0.3870 0.2707 1
Na1 Na 0.0000 0.2138 0.7911 1
Na2 Na 0.3333 0.6667 0.0000 1
Na3 Na 0.3333 0.6667 0.5000 1
Cd1 Cd 0.0000 0.0000 0.5000 1
```

Computed properties:
magnetic moment = 0.00 μB per formula unit
calculated formation energy = 0.9 eV/f.u.